Record 1
# Dy8Ni2Bi GGA-PBE relaxed
# Calculated density = 9.0 g cm⁻³
# Raw total energy = -4.975 eV per atom
# Crystal system = monoclinic
# Density of states at the Fermi level = 29.6 states/eV/cell
# Calculated volume = 602.8 Å³/cell
data_Dy8Ni2Bi
_cell_length_a 8.5970
_cell_length_b 13.2671
_cell_length_c 5.4314
_cell_angle_alpha 90.00
_cell_angle_beta 103.32
_cell_angle_gamma 90.00
_symmetry_space_group_name_H-M 'C 1 2/m 1'
_symmetry_Int_Tables_number 12
_symmetry_space_group_name_Hall '-C 2y'
loop_
_atom_site_label
_atom_site_type_symbol
_atom_site_fract_x
_atom_site_fract_y
_atom_site_fract_z
Dy1 Dy 0.0000 0.2495 0.0000
Dy2 Dy 0.1010 0.0000 0.7973
Dy3 Dy 0.2072 0.3707 0.5821
Ni1 Ni 0.0000 0.1978 0.5000
Bi1 Bi 0.0000 0.5000 0.0000

Record 2
# Hf2InH GGA-PBE relaxed
# Calculated density = 11.6 g cm⁻³
# Raw total energy = -6.602 eV per atom
# Crystal system = tetragonal
# Density of states at the Fermi level = 6.3 states/eV/cell
# Calculated volume = 270.2 Å³/cell
data_Hf2InH
_cell_length_a 4.0064
_cell_length_b 4.0064
_cell_length_c 16.8313
_cell_angle_alpha 90.00
_cell_angle_beta 90.00
_cell_angle_gamma 90.00
_symmetry_space_group_name_H-M 'I 4/m m m'
_symmetry_Int_Tables_number 139
_symmetry_space_group_name_Hall '-I 4 2'
loop_
_atom_site_label
_atom_site_type_symbol
_atom_site_fract_x
_atom_site_fract_y
_atom_site_fract_z
Hf1 Hf 0.0000 0.0000 0.1919
Hf2 Hf 0.0000 0.5000 0.0000
In1 In 0.0000 0.0000 0.3699
H1 H 0.0000 0.5000 0.2500

Record 3
# LiRu4Rh GGA-PBE relaxed
# Calculated density = 9.4 g cm⁻³
# Raw total energy = -7.202 eV per atom
# Crystal system = cubic
# Density of states at the Fermi level = 41.0 states/eV/cell
# Calculated volume = 365.1 Å³/cell
data_LiRu4Rh
_cell_length_a 7.1473
_cell_length_b 7.1473
_cell_length_c 7.1473
_cell_angle_alpha 90.00
_cell_angle_beta 90.00
_cell_angle_gamma 90.00
_symmetry_space_group_name_H-M 'F -4 3 m'
_symmetry_Int_Tables_number 216
_symmetry_space_group_name_Hall 'F -4 2 3'
loop_
_atom_site_label
_atom_site_type_symbol
_atom_site_fract_x
_atom_site_fract_y
_atom_site_fract_z
Li1 Li 0.0000 0.0000 0.0000
Ru1 Ru 0.1250 0.1250 0.6250
Rh1 Rh 0.2500 0.2500 0.2500

Record 4
# TbGaSb2 GGA-PBE relaxed
# Calculated density = 7.1 g cm⁻³
# Raw total energy = -4.311 eV per atom
# Energy relative to the elements, uncorrected = -1.3 eV per formula unit
# Crystal system = trigonal
# Density of states at the Fermi level = 9.9 states/eV/cell
# Calculated volume = 332.7 Å³/cell
data_TbGaSb2
_cell_length_a 4.1334
_cell_length_b 4.1334
_cell_length_c 22.4866
_cell_angle_alpha 90.00
_cell_angle_beta 90.00
_cell_angle_gamma 120.00
_symmetry_space_group_name_H-M 'R -3 m'
_symmetry_Int_Tables_number 166
_symmetry_space_group_name_Hall '-R 3 2"'
loop_
_atom_site_label
_atom_site_type_symbol
_atom_site_fract_x
_atom_site_fract_y
_atom_site_fract_z
Tb1 Tb 0.0000 0.0000 0.0000
Ga1 Ga 0.0000 0.0000 0.5000
Sb1 Sb 0.0000 0.0000 0.2430

Question: Which of these has the highest calculated volume?
Answer: Dy8Ni2Bi

Question: Look up the raw total energy of the third one.
Answer: -7.202 eV per atom